Here is a relaxed structure of Pm2PuSn3Rh4 from Alexandria via LeMat-Bulk. Energies are from PBE.

```
Pm2PuSn3Rh4
1.0
4.4717 0.0000 0.0000
0.0000 4.4717 0.0000
0.0000 0.0000 11.1286
Pm Pu Sn Rh
2 1 3 4
Cartesian
0.0000 2.2359 2.5680 Pm
2.2359 0.0000 8.5606 Pm
0.0000 0.0000 5.5643 Pu
0.0000 2.2359 9.7114 Sn
2.2359 0.0000 1.4172 Sn
2.2359 2.2359 5.5643 Sn
0.0000 0.0000 0.0000 Rh
0.0000 2.2359 7.1255 Rh
2.2359 0.0000 4.0031 Rh
2.2359 2.2359 0.0000 Rh
```

Results
Formation energy   -0.668 eV per atom
Total moment   4.829 μB per formula unit
E_tot   -71.9 eV per formula unit

***

Here is a relaxed structure of BaCr2Ni from Alexandria via LeMat-Bulk. Energies are from PBE.

```
BaCr2Ni
1.0
2.0228 1.1679 5.9497
-2.0228 1.1679 5.9497
0.0000 -2.3358 5.9497
Ba Cr Ni
1 2 1
Cartesian
0.0000 0.0000 0.0000 Ba
0.0000 0.0000 3.4035 Cr
0.0000 0.0000 14.4457 Cr
0.0000 0.0000 8.9246 Ni
```

Results
Formation energy   0.697 eV per atom
Total moment   0.000 μB per formula unit
Energy above the most stable polymorph in this dataset   0.244 eV per atom
E_tot   -24.2 eV per formula unit

***

Here is a relaxed structure of La2IrCBr from Alexandria via LeMat-Bulk. Energies are from PBE.

```
La2IrCBr
1.0
5.4024 0.0000 0.0000
0.0000 5.4024 0.0000
0.0000 0.0000 3.8890
La Ir C Br
2 1 1 1
Cartesian
0.0000 2.7012 0.0000 La
2.7012 0.0000 0.0000 La
0.0000 0.0000 1.9445 Ir
0.0000 0.0000 0.0000 C
2.7012 2.7012 1.9445 Br
```

Results
E_form (uncorrected)   -756 meV per atom
Total moment   0.001 μB per formula unit
E_tot   -33.4 eV per formula unit

***

Here is a relaxed structure of Ho3Tm4Hg4 from Alexandria via LeMat-Bulk. Energies are from PBE.

```
Ho3Tm4Hg4
1.0
-2.5694 3.5587 8.2748
2.5694 -3.5587 8.2748
2.5694 3.5587 -8.2748
Ho Tm Hg
3 4 4
Cartesian
0.0000 0.0000 0.0000 Ho
2.5694 0.0000 6.5770 Ho
0.0000 3.5587 1.6978 Ho
2.5694 1.6636 -2.9560 Tm
2.5694 1.6636 2.9560 Tm
0.0000 1.8951 5.3188 Tm
0.0000 1.8951 11.2308 Tm
0.0000 0.0000 3.0593 Hg
2.5694 2.0676 0.0000 Hg
0.0000 1.4911 8.2748 Hg
0.0000 0.0000 13.4903 Hg
```

Results
Formation energy   -0.252 eV per atom
Total moment   0.000 μB per formula unit
E_tot   -35.6 eV per formula unit

***

Here is a relaxed structure of SrHg2SbPd from Alexandria via LeMat-Bulk. Energies are from PBE.

```
SrHg2SbPd
1.0
5.2238 0.0000 0.0000
0.0000 5.2238 0.0000
0.0000 0.0000 5.3990
Sr Hg Sb Pd
1 2 1 1
Cartesian
0.0000 0.0000 0.0000 Sr
0.0000 2.6119 2.6995 Hg
2.6119 0.0000 2.6995 Hg
2.6119 2.6119 0.0000 Sb
2.6119 2.6119 2.6995 Pd
```

Results
E_form (uncorrected)   -327 meV per atom
Total moment   0.000 μB per formula unit
E_tot   -13.2 eV per formula unit

***

Here is a relaxed structure of HoSnPb from Alexandria via LeMat-Bulk. Energies are from PBE.

```
HoSnPb
1.0
7.3099 0.0000 0.0000
0.0000 7.3099 0.0000
0.0000 0.0000 7.3099
Ho Sn Pb
4 4 4
Cartesian
0.2286 0.2286 0.2286 Ho
3.4264 7.0813 3.8836 Ho
3.8836 3.4264 7.0813 Ho
7.0813 3.8836 3.4264 Ho
1.5470 2.1080 5.2020 Sn
2.1080 5.2020 1.5470 Sn
5.2020 1.5470 2.1080 Sn
5.7629 5.7629 5.7629 Sn
0.0963 7.2136 3.5587 Pb
3.5587 0.0963 7.2136 Pb
3.7513 3.7513 3.7513 Pb
7.2136 3.5587 0.0963 Pb
```

Results
Formation energy   -0.102 eV per atom
Total moment   0.000 μB per formula unit
Energy above the most stable polymorph in this dataset   0.365 eV per atom
E_tot   -12.6 eV per formula unit